Record 1
This record from the Alexandria database describes a PBEsol-optimized structure of InHgOs2. The functional is SCAN.

a b c (Å): 2.9251 2.9251 9.1026
angles (deg): 80.75 80.75 60.00
Last column: nearest neighbours and their distance in Å.
Fractional positions:
Os: 0.2515 0.2515 0.2455  3 In 2.77, 3 Hg 2.83, 6 Os 2.93
Os: 0.7485 0.7485 0.7545  3 In 2.77, 3 Hg 2.83, 6 Os 2.93
In: 0.0000 0.0000 0.0000  6 Os 2.77, 6 In 2.93
Hg: 0.5000 0.5000 0.5000  6 Os 2.83, 6 Hg 2.93

DOS(E_F)	0.888	states/eV/atom
energy of formation	3.36	eV/f.u.
ΔE to the lowest computed polymorph	0.00	eV per formula unit

---

Record 2
This record from the Alexandria database describes a PBEsol-optimized structure of Y3Mn. The functional is SCAN.

a b c (Å): 3.5232 5.1991 5.7174
angles (deg): 90.00 90.00 90.00
Last column: nearest neighbours and their distance in Å.
Fractional positions:
Y: 0.0000 0.5000 0.3267  2 Mn 3.19, 10 Y 3.23-3.52
Y: 0.5000 0.0000 0.4833  4 Mn 3.26-3.46, 8 Y 3.27-3.52
Y: 0.5000 0.5000 0.8530  8 Y 3.23-3.52, 4 Mn 3.26
Mn: 0.0000 0.0000 0.0037  10 Y 3.19-3.46, 2 Mn 3.52

DOS(E_F)	0.922	states/eV/atom
energy of formation	0.30	eV/f.u.

---

Record 3
This record from the Alexandria database describes a PBEsol-optimized structure of VSO4F3. The functional is SCAN.

a b c (Å): 7.0765 7.2563 10.6853
angles (deg): 90.00 90.00 90.00
Last column: nearest neighbours and their distance in Å.
Fractional positions:
O: 0.8966 0.2161 0.9448  1 S 1.58
O: 0.3349 0.5456 0.1019  1 S 1.42
O: 0.1034 0.7839 0.0552  1 S 1.58
O: 0.1034 0.2839 0.4448  1 S 1.58
O: 0.6034 0.7161 0.4448  1 S 1.58
O: 0.1651 0.0456 0.6019  1 S 1.42
O: 0.3966 0.2839 0.5552  1 S 1.58
O: 0.8966 0.7161 0.5552  1 S 1.58
O: 0.8349 0.4544 0.1019  1 S 1.42
O: 0.6651 0.4544 0.8981  1 S 1.42
O: 0.1651 0.5456 0.8981  1 S 1.42
O: 0.6034 0.2161 0.0552  1 S 1.58
O: 0.8349 0.9544 0.3981  1 S 1.42
O: 0.3349 0.0456 0.3981  1 S 1.42
O: 0.6651 0.9544 0.6019  1 S 1.42
O: 0.3966 0.7839 0.9448  1 S 1.58
F: 0.2500 0.1044 0.0000  2 V 1.92
F: 0.7500 0.8956 0.0000  2 V 1.92
F: 0.5346 0.0684 0.8458  1 V 1.74
F: 0.4654 0.4316 0.3458  1 V 1.74
F: 0.0346 0.9316 0.8458  1 V 1.74
F: 0.9654 0.5684 0.3458  1 V 1.74
F: 0.2500 0.6044 0.5000  2 V 1.92
F: 0.9654 0.0684 0.1542  1 V 1.74
F: 0.5346 0.5684 0.6542  1 V 1.74
F: 0.4654 0.9316 0.1542  1 V 1.74
F: 0.7500 0.3956 0.5000  2 V 1.92
F: 0.0346 0.4316 0.6542  1 V 1.74
S: 0.2500 0.6413 0.0000  4 O 1.42-1.58
S: 0.2500 0.1413 0.5000  4 O 1.42-1.58
S: 0.7500 0.3587 0.0000  4 O 1.42-1.58
S: 0.7500 0.8587 0.5000  4 O 1.42-1.58
V: 0.0000 0.5000 0.5000  4 F 1.74-1.92, 2 O 1.83
V: 0.0000 0.0000 0.0000  4 F 1.74-1.92, 2 O 1.83
V: 0.5000 0.0000 0.0000  4 F 1.74-1.92, 2 O 1.83
V: 0.5000 0.5000 0.5000  4 F 1.74-1.92, 2 O 1.83

energy relative to the elements, uncorrected	-2.04	eV per atom

---

Record 4
This record from the Alexandria database describes a PBEsol-optimized structure of FeP2. The functional is SCAN.

a b c (Å): 2.6942 3.7798 3.7798
angles (deg): 90.00 90.00 90.00
Last column: nearest neighbours and their distance in Å.
Fractional positions:
Fe: 0.0000 0.0000 0.0000  8 P 2.32
P: 0.5000 0.0000 0.5000  4 Fe 2.32
P: 0.5000 0.5000 0.0000  4 Fe 2.32

DOS(E_F)	0.747	states/eV/atom
energy of formation	1.26	eV/f.u.

---

Record 5
This record from the Alexandria database describes a PBEsol-optimized structure of Nd3Pd4. The functional is SCAN.

a b c (Å): 5.7468 8.0157 8.0157
angles (deg): 114.48 103.83 103.83
Last column: nearest neighbours and their distance in Å.
Fractional positions:
Pd: 0.2213 0.1640 0.6684  6 Nd 2.88-3.22, 3 Pd 2.88-2.99
Pd: 0.0000 0.0000 0.0000  2 Pd 2.87, 6 Nd 2.93
Pd: 0.5000 0.0000 0.0000  2 Pd 2.87, 6 Nd 3.00
Pd: 0.4472 0.6684 0.5044  6 Nd 2.88-3.22, 3 Pd 2.88-2.99
Pd: 0.5528 0.3316 0.4956  6 Nd 2.88-3.22, 3 Pd 2.88-2.99
Pd: 0.0573 0.5044 0.8360  6 Nd 2.88-3.22, 3 Pd 2.88-2.99
Pd: 0.7787 0.8360 0.3316  6 Nd 2.88-3.22, 3 Pd 2.88-2.99
Pd: 0.9427 0.4956 0.1640  6 Nd 2.88-3.22, 3 Pd 2.88-2.99
Nd: 0.0279 0.7468 0.6228  8 Pd 2.88-3.22
Nd: 0.5950 0.6228 0.8760  8 Pd 2.88-3.22
Nd: 0.2811 0.8760 0.2532  8 Pd 2.88-3.22
Nd: 0.9721 0.2532 0.3772  8 Pd 2.88-3.22
Nd: 0.7189 0.1240 0.7468  8 Pd 2.88-3.22
Nd: 0.4050 0.3772 0.1240  8 Pd 2.88-3.22

DOS(E_F)	0.445	states/eV/atom
energy of formation	-6.24	eV/f.u.

---

Record 6
This record from the Alexandria database describes a PBEsol-optimized structure of Mg2ScNi. The functional is SCAN.

a b c (Å): 4.6171 4.6171 4.6171
angles (deg): 89.86 120.08 120.08
Last column: nearest neighbours and their distance in Å.
Fractional positions:
Sc: 0.5000 0.2500 0.7500  4 Mg 2.83, 4 Ni 2.83
Mg: 0.0000 0.0000 0.0000  4 Sc 2.83, 4 Mg 2.83
Mg: 0.5000 0.7500 0.2500  4 Ni 2.83, 4 Mg 2.83
Ni: 0.0000 0.5000 0.5000  4 Mg 2.83, 4 Sc 2.83

DOS(E_F)	0.865	states/eV/atom
energy of formation	-0.40	eV/f.u.

---

no.,ρ (Mg/m³)
1,17.43
2,5.10
3,2.47
4,5.08
5,9.46
6,3.64